Compound: Ce3Cd4Pd4
Source: Alexandria
Functional: PBE-GGA
Structure: relaxed

The space group is Amm2 (No. 38) and the conventional cell measures 9.135, 4.621 and 11.409 Å, with angles of 90.00, 90.00 and 90.00 degrees. The distinct sites, in fractional coordinates, are Ce at (0.000, 0.000, 0.000), Ce at (0.293, 0.000, 0.129), Cd at (0.000, 0.000, 0.300), Cd at (0.277, 0.000, 0.829), Cd at (0.500, 0.000, 0.393), Pd at (0.000, 0.000, 0.664), Pd at (0.218, 0.000, 0.479) and Pd at (0.500, 0.000, 0.650).

Its energy relative to the lowest polymorph listed for this composition is 0.090 eV per atom.

=====

Compound: CeCd8Pd4
Source: Alexandria
Functional: PBE-GGA
Structure: relaxed

The space group is I4/mmm (No. 139) and the conventional cell measures 9.637, 9.637 and 5.706 Å, with angles of 90.00, 90.00 and 90.00 degrees. The distinct sites, in fractional coordinates, are Ce at (0.000, 0.000, 0.000), Cd at (0.000, 0.218, 0.500), Cd at (0.000, 0.341, 0.000) and Pd at (0.250, 0.250, 0.250).

=====

Compound: CeCd3Pd4
Source: Alexandria
Functional: PBE-GGA
Structure: relaxed

The space group is R-3m (No. 166, hexagonal axes) and the conventional cell measures 4.7692, 4.7692 and 23.0312 Å, with angles of 90.00, 90.00 and 120.00 degrees. The distinct sites, in fractional coordinates, are Ce at (0.0000, 0.0000, 0.0000), Cd at (0.0000, 0.0000, 0.2472), Cd at (0.0000, 0.0000, 0.5000), Pd at (0.0000, 0.0000, 0.1228) and Pd at (0.0000, 0.0000, 0.3795).

=====

no.,E_tot (eV per atom)
1,-4.27
2,-2.94
3,-4.17